{"formula": "Y2MgMn2S2O5", "functional": "PBE with a Hubbard U", "state": "relaxed", "e_tot_ev_per_cell": -87.0, "crystal_system": "tetragonal", "lattice": [[-1.9145, 1.9145, 14.0122], [1.9145, -1.9145, 14.0122], [1.9145, 1.9145, -14.0122]], "species": ["Y", "Y", "Mg", "Mn", "Mn", "S", "S", "O", "O", "O", "O", "O"], "fractional_positions": [[0.1334, 0.1334, 0.0000], [0.8666, 0.8666, 0.0000], [0.2500, 0.7500, 0.5000], [0.4344, 0.4344, 0.0000], [0.5656, 0.5656, 0.0000], [0.3068, 0.3068, 0.0000], [0.6932, 0.6932, 0.0000], [0.0935, 0.5935, 0.5000], [0.4065, 0.9065, 0.5000], [0.5000, 0.5000, 0.0000], [0.5913, 0.0913, 0.5000], [0.9087, 0.4087, 0.5000]]}